YIn3N | PBE-GGA | relaxed

a b c (Å): 4.8253 4.8253 4.8253
angles (deg): 90.00 90.00 90.00
Closest atoms and distances in Å follow each position.
Space group Pm-3m (No. 221)
One atom of each set of equivalent atoms:
Y (0.0000, 0.0000, 0.0000) (multiplicity 1)  12 In 3.41
In (0.0000, 0.5000, 0.5000) (multiplicity 3)  2 N 2.41
N (0.5000, 0.5000, 0.5000) (multiplicity 1)  6 In 2.41

Summary:
E_form (uncorrected) (eV per atom): 0.32
Energy above the most stable polymorph in this dataset (meV/atom): 0.0

***

Y6In2N | PBE-GGA | relaxed

a b c (Å): 9.7419 9.7419 9.7419
angles (deg): 90.00 90.00 90.00
Closest atoms and distances in Å follow each position.
Space group Fm-3m (No. 225)
One atom of each set of equivalent atoms:
Y (0.0000, 0.0000, 0.2442) (multiplicity 24)  1 N 2.38
In (0.2500, 0.2500, 0.2500) (multiplicity 8)  12 Y 3.44
N (0.0000, 0.0000, 0.0000) (multiplicity 4)  6 Y 2.38

Summary:
E_form (uncorrected) (eV per atom): -0.66

***

Y2InN | PBE-GGA | relaxed

a b c (Å): 3.5439 3.5439 23.6602
angles (deg): 90.00 90.00 120.00
Closest atoms and distances in Å follow each position.
Space group R-3m (No. 166, hexagonal axes)
One atom of each set of equivalent atoms:
Y (0.0000, 0.0000, 0.2232) (multiplicity 6)  3 N 2.44
In (0.0000, 0.0000, 0.0000) (multiplicity 3)  6 Y 3.31, 6 In 3.54
N (0.0000, 0.0000, 0.5000) (multiplicity 3)  6 Y 2.44

Summary:
E_form (uncorrected) (eV per atom): -1.05

***

Y2InN | PBE-GGA | relaxed

a b c (Å): 3.5532 5.8564 8.5778
angles (deg): 90.00 90.00 90.00
Closest atoms and distances in Å follow each position.
Space group Cmmm (No. 65)
One atom of each set of equivalent atoms:
Y (0.0000, 0.0000, 0.1821) (multiplicity 4)  2 N 2.37
In (0.0000, 0.5000, 0.5000) (multiplicity 2)  4 Y 3.25, 6 In 3.43-3.55
N (0.0000, 0.5000, 0.0000) (multiplicity 2)  4 Y 2.37

Summary:
E_form (uncorrected) (eV per atom): -0.60

***

Y2InN | PBE-GGA | relaxed

a b c (Å): 7.0667 7.0667 7.0667
angles (deg): 90.00 90.00 90.00
Closest atoms and distances in Å follow each position.
Space group Fm-3m (No. 225)
One atom of each set of equivalent atoms:
Y (0.2500, 0.2500, 0.2500) (multiplicity 8)  4 In 3.06, 4 N 3.06
In (0.0000, 0.0000, 0.0000) (multiplicity 4)  8 Y 3.06
N (0.0000, 0.0000, 0.5000) (multiplicity 4)  8 Y 3.06

Summary:
E_form (uncorrected) (eV per atom): 0.29

***

YInN3 | PBE-GGA | relaxed

a b c (Å): 4.5129 4.5129 4.5129
angles (deg): 90.00 90.00 90.00
Closest atoms and distances in Å follow each position.
Space group Pm-3m (No. 221)
One atom of each set of equivalent atoms:
Y (0.0000, 0.0000, 0.0000) (multiplicity 1)  6 N 2.26
In (0.5000, 0.5000, 0.5000) (multiplicity 1)  12 N 3.19
N (0.0000, 0.0000, 0.5000) (multiplicity 3)  2 Y 2.26

Summary:
E_form (uncorrected) (eV per atom): 1.13

***

YInN3 | PBE-GGA | relaxed

a b c (Å): 4.1187 4.1187 4.1187
angles (deg): 90.00 90.00 90.00
Closest atoms and distances in Å follow each position.
Space group Pm-3m (No. 221)
One atom of each set of equivalent atoms:
Y (0.0000, 0.0000, 0.0000) (multiplicity 1)  12 N 2.91
In (0.5000, 0.5000, 0.5000) (multiplicity 1)  6 N 2.06
N (0.0000, 0.5000, 0.5000) (multiplicity 3)  2 In 2.06

Summary:
E_form (uncorrected) (eV per atom): 0.76

***

Y2InN2 | PBE-GGA | relaxed

a b c (Å): 7.4622 7.4622 3.2565
angles (deg): 90.00 90.00 90.00
Closest atoms and distances in Å follow each position.
Space group P4/mbm (No. 127)
One atom of each set of equivalent atoms:
Y (0.1613, 0.3387, 0.0000) (multiplicity 4)  2 N 2.33
In (0.0000, 0.0000, 0.0000) (multiplicity 2)  4 Y 2.80
N (0.1804, 0.6804, 0.5000) (multiplicity 4)  2 Y 2.33

Summary:
E_form (uncorrected) (eV per atom): -0.09
Energy above the most stable polymorph in this dataset (meV/atom): 756.9

***

YInN2 | PBE-GGA | relaxed

a b c (Å): 3.5752 3.5752 19.3359
angles (deg): 90.00 90.00 120.00
Closest atoms and distances in Å follow each position.
Space group R-3m (No. 166, hexagonal axes)
One atom of each set of equivalent atoms:
Y (0.0000, 0.0000, 0.0000) (multiplicity 3)  2 N 2.15
In (0.0000, 0.0000, 0.5000) (multiplicity 3)  6 N 2.33
N (0.0000, 0.0000, 0.1110) (multiplicity 6)  1 Y 2.15, 3 In 2.33

Summary:
E_form (uncorrected) (eV per atom): 0.44

***

Y2InN2 | PBE-GGA | relaxed

a b c (Å): 4.2622 4.2622 11.6138
angles (deg): 90.00 90.00 90.00
Closest atoms and distances in Å follow each position.
Space group I4/mmm (No. 139)
One atom of each set of equivalent atoms:
Y (0.0000, 0.0000, 0.1803) (multiplicity 4)  4 N 2.28
In (0.0000, 0.0000, 0.5000) (multiplicity 2)  8 N 3.60, 10 Y 3.67-3.71
N (0.0000, 0.5000, 0.2500) (multiplicity 4)  4 Y 2.28

Summary:
E_form (uncorrected) (eV per atom): -0.84
Energy above the most stable polymorph in this dataset (meV/atom): 0.0

***

Y9In3N2 | PBE-GGA | relaxed

a b c (Å): 6.8651 6.8651 8.4169
angles (deg): 90.00 90.00 120.00
Closest atoms and distances in Å follow each position.
Space group P-3m1 (No. 164)
One atom of each set of equivalent atoms:
Y (0.0000, 0.5000, 0.0000) (multiplicity 3)  2 N 2.42
Y (0.1703, 0.3407, 0.6715) (multiplicity 6)  1 N 2.38
In (0.0000, 0.0000, 0.0000) (multiplicity 1)  12 Y 3.43
In (0.3333, 0.6667, 0.3340) (multiplicity 2)  12 Y 3.43-3.44
N (0.3333, 0.6667, 0.8349) (multiplicity 2)  6 Y 2.38-2.42

Summary:
E_form (uncorrected) (eV per atom): -0.78

***

YZr2InN | PBE-GGA | relaxed

a b c (Å): 4.5310 4.5310 4.8286
angles (deg): 90.00 90.00 90.00
Closest atoms and distances in Å follow each position.
Space group P4/mmm (No. 123)
One atom of each set of equivalent atoms:
Y (0.0000, 0.0000, 0.0000) (multiplicity 1)  2 N 2.41
Zr (0.0000, 0.5000, 0.5000) (multiplicity 2)  2 N 2.27
In (0.5000, 0.5000, 0.0000) (multiplicity 1)  4 Y 3.20, 8 Zr 3.31
N (0.0000, 0.0000, 0.5000) (multiplicity 1)  4 Zr 2.27, 2 Y 2.41

Summary:
E_form (uncorrected) (eV per atom): -0.87

***

Y2ZrInN | PBE-GGA | relaxed

a b c (Å): 4.8281 4.8281 4.5333
angles (deg): 90.00 90.00 90.00
Closest atoms and distances in Å follow each position.
Space group P4/mmm (No. 123)
One atom of each set of equivalent atoms:
Y (0.0000, 0.5000, 0.0000) (multiplicity 2)  2 N 2.41
Zr (0.0000, 0.0000, 0.5000) (multiplicity 1)  2 N 2.27
In (0.5000, 0.5000, 0.5000) (multiplicity 1)  8 Y 3.31, 4 Zr 3.41
N (0.0000, 0.0000, 0.0000) (multiplicity 1)  2 Zr 2.27, 4 Y 2.41

Summary:
E_form (uncorrected) (eV per atom): -0.93

***

Zn3InN | PBE-GGA | relaxed

a b c (Å): 4.3072 4.3072 4.3072
angles (deg): 90.00 90.00 90.00
Closest atoms and distances in Å follow each position.
Space group Pm-3m (No. 221)
One atom of each set of equivalent atoms:
Zn (0.0000, 0.0000, 0.5000) (multiplicity 3)  2 N 2.15
In (0.5000, 0.5000, 0.5000) (multiplicity 1)  12 Zn 3.05
N (0.0000, 0.0000, 0.0000) (multiplicity 1)  6 Zn 2.15

Summary:
E_form (uncorrected) (eV per atom): 0.40
Energy above the most stable polymorph in this dataset (meV/atom): 0.0

***

Zn2InN2 | PBE-GGA | relaxed

a b c (Å): 3.4925 3.4925 6.4125
angles (deg): 90.00 90.00 120.00
Closest atoms and distances in Å follow each position.
Space group P-3m1 (No. 164)
One atom of each set of equivalent atoms:
Zn (0.3333, 0.6667, 0.3570) (multiplicity 2)  4 N 2.07-2.31
In (0.0000, 0.0000, 0.0000) (multiplicity 1)  6 N 2.71
N (0.3333, 0.6667, 0.7178) (multiplicity 2)  4 Zn 2.07-2.31

Summary:
E_form (uncorrected) (eV per atom): 0.41

***

ZnInN | PBE-GGA | relaxed

a b c (Å): 3.6993 3.6993 28.7520
angles (deg): 90.00 90.00 120.00
Closest atoms and distances in Å follow each position.
Space group R-3m (No. 166, hexagonal axes)
One atom of each set of equivalent atoms:
Zn (0.0000, 0.0000, 0.1380) (multiplicity 6)  3 Zn 2.70
In (0.0000, 0.0000, 0.3773) (multiplicity 6)  3 N 2.14
N (0.0000, 0.0000, 0.2927) (multiplicity 6)  3 In 2.14

Summary:
E_form (uncorrected) (eV per atom): 0.44

***

ZnInN3 | PBE-GGA | relaxed

a b c (Å): 4.2513 4.2513 4.2513
angles (deg): 90.00 90.00 90.00
Closest atoms and distances in Å follow each position.
Space group Pm-3m (No. 221)
One atom of each set of equivalent atoms:
Zn (0.0000, 0.0000, 0.0000) (multiplicity 1)  12 N 3.01
In (0.5000, 0.5000, 0.5000) (multiplicity 1)  6 N 2.13
N (0.0000, 0.5000, 0.5000) (multiplicity 3)  2 In 2.13

Summary:
E_form (uncorrected) (eV per atom): 2.04

***

ZnIn3N | PBE-GGA | relaxed

a b c (Å): 5.0803 5.0803 5.0803
angles (deg): 90.00 90.00 90.00
Closest atoms and distances in Å follow each position.
Space group Pm-3m (No. 221)
One atom of each set of equivalent atoms:
Zn (0.0000, 0.0000, 0.0000) (multiplicity 1)  6 In 2.54
In (0.0000, 0.0000, 0.5000) (multiplicity 3)  2 Zn 2.54
N (0.5000, 0.5000, 0.5000) (multiplicity 1)  12 In 3.59

Summary:
E_form (uncorrected) (eV per atom): 1.25
Energy above the most stable polymorph in this dataset (meV/atom): 721.2

***

ZnIn3N | PBE-GGA | relaxed

a b c (Å): 4.7679 4.7679 4.7679
angles (deg): 90.00 90.00 90.00
Closest atoms and distances in Å follow each position.
Space group Pm-3m (No. 221)
One atom of each set of equivalent atoms:
Zn (0.0000, 0.0000, 0.0000) (multiplicity 1)  12 In 3.37
In (0.0000, 0.5000, 0.5000) (multiplicity 3)  2 N 2.38
N (0.5000, 0.5000, 0.5000) (multiplicity 1)  6 In 2.38

Summary:
E_form (uncorrected) (eV per atom): 0.53
Energy above the most stable polymorph in this dataset (meV/atom): 0.0

***

Zn5InN4 | PBE-GGA | relaxed

a b c (Å): 6.6857 8.1440 4.9421
angles (deg): 90.00 90.00 90.00
Closest atoms and distances in Å follow each position.
Space group Pmmn (No. 59, origin choice 2)
One atom of each set of equivalent atoms:
Zn (0.0012, 0.0765, 0.2386) (multiplicity 8)  3 N 1.97-2.14
Zn (0.2500, 0.2500, 0.7499) (multiplicity 2)  2 N 1.99
In (0.2500, 0.7500, 0.2257) (multiplicity 2)  4 N 2.14-2.34
N (0.0069, 0.2500, 0.5158) (multiplicity 4)  3 Zn 1.97-1.99, 1 In 2.14
N (0.2500, 0.0019, 0.9973) (multiplicity 4)  5 Zn 2.14-2.36, 1 In 2.34

Summary:
E_form (uncorrected) (eV per atom): 0.26

***

ZnInN3 | PBE-GGA | relaxed

a b c (Å): 3.9237 3.9237 3.9237
angles (deg): 90.00 90.00 90.00
Closest atoms and distances in Å follow each position.
Space group Pm-3m (No. 221)
One atom of each set of equivalent atoms:
Zn (0.0000, 0.0000, 0.0000) (multiplicity 1)  6 N 1.96
In (0.5000, 0.5000, 0.5000) (multiplicity 1)  12 N 2.77
N (0.0000, 0.0000, 0.5000) (multiplicity 3)  2 Zn 1.96

Summary:
E_form (uncorrected) (eV per atom): 1.75

***

Zn3InN | PBE-GGA | relaxed

a b c (Å): 5.2322 5.2322 5.2322
angles (deg): 90.00 90.00 90.00
Closest atoms and distances in Å follow each position.
Space group Pm-3m (No. 221)
One atom of each set of equivalent atoms:
Zn (0.0000, 0.0000, 0.5000) (multiplicity 3)  2 In 2.62
In (0.0000, 0.0000, 0.0000) (multiplicity 1)  6 Zn 2.62
N (0.5000, 0.5000, 0.5000) (multiplicity 1)  12 Zn 3.70

Summary:
E_form (uncorrected) (eV per atom): 1.38
Energy above the most stable polymorph in this dataset (meV/atom): 977.5

***

Zr3InN | PBE-GGA | relaxed

a b c (Å): 3.2918 6.6518 9.6445
angles (deg): 90.00 90.00 90.00
Closest atoms and distances in Å follow each position.
Space group Amm2 (No. 38)
One atom of each set of equivalent atoms:
Zr (0.0000, 0.0000, 0.0000) (multiplicity 2)  2 N 2.10
Zr (0.5000, 0.2371, 0.2524) (multiplicity 4)  1 N 2.06
In (0.0000, 0.0000, 0.4976) (multiplicity 2)  10 Zr 3.29-3.44, 2 In 3.29
N (0.5000, 0.0000, 0.8653) (multiplicity 2)  4 Zr 2.06-2.10

Summary:
E_form (uncorrected) (eV per atom): -0.57

***

Zr3InN | PBE-GGA | relaxed

a b c (Å): 14.1656 8.0124 9.0056
angles (deg): 90.00 127.87 90.00
Closest atoms and distances in Å follow each position.
Space group C2/c (No. 15)
One atom of each set of equivalent atoms:
Zr (0.0714, 0.1570, 0.1600) (multiplicity 8)  1 N 2.06
Zr (0.1116, 0.4674, 0.4832) (multiplicity 8)  1 N 2.09
Zr (0.1262, 0.2285, 0.7911) (multiplicity 8)  1 N 2.15
In (0.2195, 0.0742, 0.6019) (multiplicity 8)  1 N 2.93, 6 Zr 2.94-3.23
N (0.0000, 0.0472, 0.7500) (multiplicity 4)  4 Zr 2.15-2.32
N (0.0000, 0.3126, 0.2500) (multiplicity 4)  4 Zr 2.06-2.09

Summary:
E_form (uncorrected) (eV per atom): -0.56

***

Zr3InN | PBE-GGA | relaxed

a b c (Å): 4.3338 4.3338 7.5915
angles (deg): 90.00 90.00 90.00
Closest atoms and distances in Å follow each position.
Space group P4mm (No. 99)
One atom of each set of equivalent atoms:
Zr (0.0000, 0.0000, 0.0000) (multiplicity 1)  1 In 3.01, 4 Zr 3.12
Zr (0.0000, 0.5000, 0.7051) (multiplicity 2)  2 N 2.17
In (0.0000, 0.0000, 0.3967) (multiplicity 1)  5 Zr 3.01-3.19
N (0.5000, 0.5000, 0.6823) (multiplicity 1)  4 Zr 2.17

Summary:
E_form (uncorrected) (eV per atom): 0.17

***

Zr3InN | PBE-GGA | relaxed

a b c (Å): 10.6637 4.5763 8.5046
angles (deg): 90.00 114.15 90.00
Closest atoms and distances in Å follow each position.
Space group C2/m (No. 12)
One atom of each set of equivalent atoms:
Zr (0.1092, 0.0000, 0.1916) (multiplicity 4)  2 N 2.25-2.28
Zr (0.1359, 0.0000, 0.6716) (multiplicity 4)  1 N 2.27
Zr (0.1449, 0.5000, 0.9435) (multiplicity 4)  3 N 2.27-2.30
In (0.1056, 0.5000, 0.4252) (multiplicity 4)  1 In 3.01, 8 Zr 3.03-3.29
N (0.1220, 0.0000, 0.9307) (multiplicity 4)  6 Zr 2.25-2.30

Summary:
E_form (uncorrected) (eV per atom): -0.85

***

no.,total magnetization (μB/atom),calculated volume (Å³/cell)
1,0.00,112.4
2,0.00,924.5
3,0.00,257.3
4,0.00,178.5
5,0.00,352.9
6,0.95,91.9
7,0.00,69.9
8,0.00,181.3
9,0.00,214.0
10,0.00,211.0
11,0.00,343.5
12,0.00,99.1
13,0.00,105.7
14,0.00,79.9
15,0.00,67.7
16,0.00,340.8
17,0.83,76.8
18,0.00,131.1
19,0.00,108.4
20,0.00,269.1
21,0.59,60.4
22,0.46,143.2
23,0.00,211.2
24,0.00,806.9
25,0.00,142.6
26,0.00,378.7